{"formula": "ThGeBi2", "functional": "PBE", "state": "optimized geometry", "e_tot_ev_per_cell": -21.1, "space_group": "P4/mmm (123)", "dos_ef_per_ev_cell": 2.33, "lattice_angstrom": [[4.699, 0.000, 0.000], [0.000, 4.699, 0.000], [0.000, 0.000, 5.016]], "species": ["Th", "Ge", "Bi", "Bi"], "frac_coords": [[0.000, 0.000, 0.000], [0.500, 0.500, 0.000], [0.000, 0.500, 0.500], [0.500, 0.000, 0.500]]}


{"formula": "LiCa2Sn2Pd", "functional": "PBE", "state": "optimized geometry", "e_tot_ev_per_cell": -45.6, "space_group": "Ibam (72)", "dos_ef_per_ev_cell": 8.52, "lattice_angstrom": [[-3.253, 6.997, 3.298], [3.253, -6.997, 3.298], [3.253, 6.997, -3.298]], "species": ["Li", "Li", "Ca", "Ca", "Ca", "Ca", "Sn", "Sn", "Sn", "Sn", "Pd", "Pd"], "frac_coords": [[0.250, 0.250, 0.000], [0.750, 0.750, 0.000], [0.158, 0.742, 0.901], [0.342, 0.242, 0.584], [0.658, 0.758, 0.416], [0.842, 0.258, 0.099], [0.106, 0.252, 0.358], [0.394, 0.752, 0.146], [0.606, 0.248, 0.854], [0.894, 0.748, 0.642], [0.250, 0.750, 0.500], [0.750, 0.250, 0.500]]}


{"formula": "CoCu2Pd5Pt", "functional": "PBE", "state": "optimized geometry", "e_tot_ev_per_cell": -89.9, "space_group": "I4/mcm (140)", "dos_ef_per_ev_cell": 24.50, "lattice_angstrom": [[-3.024, 3.024, 7.585], [3.024, -3.024, 7.585], [3.024, 3.024, -7.585]], "species": ["Co", "Co", "Cu", "Cu", "Cu", "Cu", "Pd", "Pd", "Pd", "Pd", "Pd", "Pd", "Pd", "Pd", "Pd", "Pd", "Pt", "Pt"], "frac_coords": [[0.250, 0.250, 0.000], [0.750, 0.750, 0.000], [0.126, 0.626, 0.751], [0.374, 0.126, 0.500], [0.626, 0.874, 0.500], [0.874, 0.374, 0.249], [0.000, 0.000, 0.000], [0.096, 0.122, 0.500], [0.122, 0.622, 0.026], [0.378, 0.404, 0.500], [0.404, 0.904, 0.026], [0.500, 0.500, 0.000], [0.596, 0.096, 0.974], [0.622, 0.596, 0.500], [0.878, 0.378, 0.974], [0.904, 0.878, 0.500], [0.250, 0.750, 0.500], [0.750, 0.250, 0.500]]}


DFT formation energy (eV per formula unit)
-1.26 -3.67 2.36
Calculated volume (Å³/cell)
111 300 277
M_tot (μB per atom)
0.0000 0.0000 0.3689